Entry 1:
Computed, not measured: crystalline LiReNiW at its relaxed geometry at the GGA-PBE level of DFT. Values from VASP.

```
&SYSTEM
  ibrav = 0, nat = 4, ntyp = 4
/
ATOMIC_SPECIES
Li 6.94 Li.upf
Re 186.21 Re.upf
Ni 58.69 Ni.upf
W 183.84 W.upf
CELL_PARAMETERS angstrom
0.000 3.014 3.014
3.014 0.000 3.014
3.014 3.014 0.000
ATOMIC_POSITIONS angstrom
Li 0.000 0.000 0.000
Re 1.507 1.507 1.507
Ni 4.521 4.521 4.521
W 3.014 3.014 3.014
```

Calculated values
The calculation puts the spin magnetization at 0.000 Bohr magnetons per cell. The calculation puts the energy relative to the elements at 185 meV per atom. The total DFT energy (no corrections) comes out at -8.090 eV/atom. As for the space group: F-43m, No. 216.


Entry 2:
Computed, not measured: crystalline Li2NiRh at its relaxed geometry at the GGA-PBE level of DFT. Values from VASP.

```
&SYSTEM
  ibrav = 0, nat = 4, ntyp = 3
/
ATOMIC_SPECIES
Li 6.94 Li.upf
Ni 58.69 Ni.upf
Rh 102.91 Rh.upf
CELL_PARAMETERS angstrom
2.542 0.000 0.000
0.000 2.542 0.000
0.000 0.000 7.973
ATOMIC_POSITIONS angstrom
Li 0.000 0.000 1.923
Li 0.000 0.000 6.050
Ni 1.271 1.271 0.000
Rh 1.271 1.271 3.986
```

Calculated values
The calculation puts the spin magnetization at 0.155 Bohr magnetons per cell. The calculation puts the energy relative to the elements at 26 meV per atom. The total DFT energy (no corrections) comes out at -4.214 eV/atom. As for the space group: P4/mmm, No. 123. The value obtained for the polymorph energy (0 for the lowest one) is 155.2 meV/atom.


Entry 3:
Computed, not measured: crystalline Li2NiRh at its relaxed geometry at the GGA-PBE level of DFT. Values from VASP.

```
&SYSTEM
  ibrav = 0, nat = 4, ntyp = 3
/
ATOMIC_SPECIES
Li 6.94 Li.upf
Ni 58.69 Ni.upf
Rh 102.91 Rh.upf
CELL_PARAMETERS angstrom
4.386 -1.313 0.000
4.386 1.313 0.000
-0.975 0.000 4.330
ATOMIC_POSITIONS angstrom
Li 1.906 0.000 1.076
Li 5.891 0.000 3.254
Ni 4.386 0.000 0.000
Rh -0.487 0.000 2.165
```

Calculated values
The calculation puts the spin magnetization at 0.115 Bohr magnetons per cell. The calculation puts the energy relative to the elements at -130 meV per atom. The total DFT energy (no corrections) comes out at -4.370 eV/atom. As for the space group: C2/m, No. 12. The value obtained for the polymorph energy (0 for the lowest one) is 0.0 meV/atom.


Entry 4:
Computed, not measured: crystalline Li6NiRh5 at its relaxed geometry at the GGA-PBE level of DFT. Values from VASP.

```
&SYSTEM
  ibrav = 0, nat = 12, ntyp = 3
/
ATOMIC_SPECIES
Li 6.94 Li.upf
Ni 58.69 Ni.upf
Rh 102.91 Rh.upf
CELL_PARAMETERS angstrom
2.298 -3.980 0.000
2.298 3.980 0.000
-1.539 0.000 8.668
ATOMIC_POSITIONS angstrom
Li -0.005 1.329 6.519
Li 0.759 0.000 2.151
Li -0.005 -1.329 6.519
Li 3.061 1.329 2.149
Li 2.298 0.000 6.518
Li 3.061 -1.329 2.149
Ni 2.298 0.000 0.000
Rh -0.770 0.000 4.334
Rh 2.298 2.653 0.000
Rh 1.528 1.326 4.334
Rh 1.528 -1.326 4.334
Rh 2.298 -2.653 0.000
```

Calculated values
The calculation puts the spin magnetization at 0.884 Bohr magnetons per cell. The calculation puts the energy relative to the elements at -173 meV per atom. The total DFT energy (no corrections) comes out at -4.674 eV/atom. As for the space group: C2/m, No. 12.


Entry 5:
Computed, not measured: crystalline LiNiRh6 at its relaxed geometry at the GGA-PBE level of DFT. Values from VASP.

```
&SYSTEM
  ibrav = 0, nat = 8, ntyp = 3
/
ATOMIC_SPECIES
Li 6.94 Li.upf
Ni 58.69 Ni.upf
Rh 102.91 Rh.upf
CELL_PARAMETERS angstrom
4.621 -2.220 0.000
4.621 2.220 0.000
-1.669 0.000 5.301
ATOMIC_POSITIONS angstrom
Li 0.000 0.000 0.000
Ni -0.835 0.000 2.650
Rh 1.555 0.000 1.947
Rh 0.725 0.000 4.600
Rh 4.181 0.000 1.343
Rh 3.392 0.000 3.958
Rh 6.848 0.000 0.700
Rh 6.018 0.000 3.353
```

Calculated values
The calculation puts the spin magnetization at 0.215 Bohr magnetons per cell. The calculation puts the energy relative to the elements at 108 meV per atom. The total DFT energy (no corrections) comes out at -6.368 eV/atom. As for the space group: C2/m, No. 12.


Entry 6:
Computed, not measured: crystalline Li2NiRh at its relaxed geometry at the GGA-PBE level of DFT. Values from VASP.

```
&SYSTEM
  ibrav = 0, nat = 4, ntyp = 3
/
ATOMIC_SPECIES
Li 6.94 Li.upf
Ni 58.69 Ni.upf
Rh 102.91 Rh.upf
CELL_PARAMETERS angstrom
3.541 0.000 0.000
0.000 3.541 0.000
0.000 0.000 4.045
ATOMIC_POSITIONS angstrom
Li 0.000 1.771 0.000
Li 1.771 0.000 0.000
Ni 0.000 0.000 2.022
Rh 1.771 1.771 2.022
```

Calculated values
The calculation puts the spin magnetization at 0.705 Bohr magnetons per cell. The calculation puts the energy relative to the elements at -34 meV per atom. The total DFT energy (no corrections) comes out at -4.274 eV/atom. As for the space group: P4/mmm, No. 123. The value obtained for the polymorph energy (0 for the lowest one) is 96.0 meV/atom.


Entry 7:
Computed, not measured: crystalline Li2NiRh at its relaxed geometry at the GGA-PBE level of DFT. Values from VASP.

```
&SYSTEM
  ibrav = 0, nat = 4, ntyp = 3
/
ATOMIC_SPECIES
Li 6.94 Li.upf
Ni 58.69 Ni.upf
Rh 102.91 Rh.upf
CELL_PARAMETERS angstrom
2.572 0.000 0.000
0.000 4.302 0.000
-0.207 0.000 4.537
ATOMIC_POSITIONS angstrom
Li 0.516 0.000 1.126
Li 1.849 0.000 3.411
Ni -0.104 2.151 2.268
Rh 1.286 2.151 0.000
```

Calculated values
The calculation puts the spin magnetization at 0.103 Bohr magnetons per cell. The calculation puts the energy relative to the elements at -108 meV per atom. The total DFT energy (no corrections) comes out at -4.348 eV/atom. As for the space group: P2/m, No. 10. The value obtained for the polymorph energy (0 for the lowest one) is 21.3 meV/atom.


Entry 8:
Computed, not measured: crystalline Li2NiRh at its relaxed geometry at the GGA-PBE level of DFT. Values from VASP.

```
&SYSTEM
  ibrav = 0, nat = 4, ntyp = 3
/
ATOMIC_SPECIES
Li 6.94 Li.upf
Ni 58.69 Ni.upf
Rh 102.91 Rh.upf
CELL_PARAMETERS angstrom
4.702 -1.287 0.000
4.702 1.287 0.000
-2.071 0.000 4.182
ATOMIC_POSITIONS angstrom
Li 0.000 0.000 0.000
Li 0.329 0.000 3.854
Ni 3.644 0.000 2.003
Rh 6.198 0.000 1.847
```

Calculated values
The calculation puts the spin magnetization at 0.105 Bohr magnetons per cell. The calculation puts the energy relative to the elements at -103 meV per atom. The total DFT energy (no corrections) comes out at -4.344 eV/atom. As for the space group: Cm, No. 8. The value obtained for the polymorph energy (0 for the lowest one) is 26.1 meV/atom.


Entry 9:
Computed, not measured: crystalline Li2NiRh at its relaxed geometry at the GGA-PBE level of DFT. Values from VASP.

```
&SYSTEM
  ibrav = 0, nat = 4, ntyp = 3
/
ATOMIC_SPECIES
Li 6.94 Li.upf
Ni 58.69 Ni.upf
Rh 102.91 Rh.upf
CELL_PARAMETERS angstrom
0.000 2.929 2.929
2.929 0.000 2.929
2.929 2.929 0.000
ATOMIC_POSITIONS angstrom
Li 0.000 0.000 0.000
Li 1.464 1.464 1.464
Ni 4.393 4.393 4.393
Rh 2.929 2.929 2.929
```

Calculated values
The calculation puts the spin magnetization at 1.389 Bohr magnetons per cell. The calculation puts the energy relative to the elements at -45 meV per atom. The total DFT energy (no corrections) comes out at -4.285 eV/atom. As for the space group: F-43m, No. 216. The value obtained for the polymorph energy (0 for the lowest one) is 84.8 meV/atom.


Entry 10:
Computed, not measured: crystalline LiNiRh at its relaxed geometry at the GGA-PBE level of DFT. Values from VASP.

```
&SYSTEM
  ibrav = 0, nat = 12, ntyp = 3
/
ATOMIC_SPECIES
Li 6.94 Li.upf
Ni 58.69 Ni.upf
Rh 102.91 Rh.upf
CELL_PARAMETERS angstrom
7.182 0.000 0.000
0.000 2.563 0.000
0.000 0.000 8.212
ATOMIC_POSITIONS angstrom
Li 0.752 0.641 0.820
Li 2.839 1.922 4.926
Li 4.343 0.641 3.286
Li 6.430 1.922 7.392
Ni 0.452 0.641 5.154
Ni 3.139 1.922 1.048
Ni 4.043 0.641 7.164
Ni 6.730 1.922 3.058
Rh 1.778 1.922 7.024
Rh 1.813 0.641 2.918
Rh 5.369 1.922 5.295
Rh 5.404 0.641 1.188
```

Calculated values
The calculation puts the spin magnetization at 4.174 Bohr magnetons per cell. The calculation puts the energy relative to the elements at 12 meV per atom. The total DFT energy (no corrections) comes out at -5.003 eV/atom. As for the space group: Pnma, No. 62. The value obtained for the polymorph energy (0 for the lowest one) is 53.0 meV/atom.


Entry 11:
Computed, not measured: crystalline Li2Ni3Rh2 at its relaxed geometry at the GGA-PBE level of DFT. Values from VASP.

```
&SYSTEM
  ibrav = 0, nat = 7, ntyp = 3
/
ATOMIC_SPECIES
Li 6.94 Li.upf
Ni 58.69 Ni.upf
Rh 102.91 Rh.upf
CELL_PARAMETERS angstrom
-1.298 2.114 8.081
1.298 -2.114 8.081
1.298 2.114 -8.081
ATOMIC_POSITIONS angstrom
Li 0.000 0.000 1.357
Li 0.000 0.000 14.806
Ni 1.298 0.000 3.685
Ni 0.000 2.114 0.000
Ni 0.000 2.114 4.397
Rh 0.000 0.000 5.906
Rh 0.000 0.000 10.257
```

Calculated values
The calculation puts the spin magnetization at 2.889 Bohr magnetons per cell. The calculation puts the energy relative to the elements at 0 meV per atom. The total DFT energy (no corrections) comes out at -5.125 eV/atom. As for the space group: Immm, No. 71.


Entry 12:
Computed, not measured: crystalline Li2NiRh at its relaxed geometry at the GGA-PBE level of DFT. Values from VASP.

```
&SYSTEM
  ibrav = 0, nat = 4, ntyp = 3
/
ATOMIC_SPECIES
Li 6.94 Li.upf
Ni 58.69 Ni.upf
Rh 102.91 Rh.upf
CELL_PARAMETERS angstrom
0.000 2.872 2.872
2.872 0.000 2.872
2.872 2.872 0.000
ATOMIC_POSITIONS angstrom
Li 1.436 1.436 1.436
Li 4.308 4.308 4.308
Ni 0.000 0.000 0.000
Rh 2.872 2.872 2.872
```

Calculated values
The calculation puts the spin magnetization at 0.107 Bohr magnetons per cell. The calculation puts the energy relative to the elements at 80 meV per atom. The total DFT energy (no corrections) comes out at -4.160 eV/atom. As for the space group: Fm-3m, No. 225. The value obtained for the polymorph energy (0 for the lowest one) is 209.4 meV/atom.


Entry 13:
Computed, not measured: crystalline Li2NiRh at its relaxed geometry at the GGA-PBE level of DFT. Values from VASP.

```
&SYSTEM
  ibrav = 0, nat = 4, ntyp = 3
/
ATOMIC_SPECIES
Li 6.94 Li.upf
Ni 58.69 Ni.upf
Rh 102.91 Rh.upf
CELL_PARAMETERS angstrom
1.364 -2.193 0.000
1.364 2.193 0.000
0.000 0.000 8.547
ATOMIC_POSITIONS angstrom
Li 0.000 0.000 2.094
Li 0.000 0.000 6.453
Ni 1.364 0.000 0.000
Rh 1.364 0.000 4.273
```

Calculated values
The calculation puts the spin magnetization at 0.252 Bohr magnetons per cell. The calculation puts the energy relative to the elements at -61 meV per atom. The total DFT energy (no corrections) comes out at -4.301 eV/atom. As for the space group: Cmmm, No. 65. The value obtained for the polymorph energy (0 for the lowest one) is 68.5 meV/atom.


Entry 14:
Computed, not measured: crystalline LiNiRh at its relaxed geometry at the GGA-PBE level of DFT. Values from VASP.

```
&SYSTEM
  ibrav = 0, nat = 3, ntyp = 3
/
ATOMIC_SPECIES
Li 6.94 Li.upf
Ni 58.69 Ni.upf
Rh 102.91 Rh.upf
CELL_PARAMETERS angstrom
0.000 2.210 6.484
1.369 0.000 6.484
1.369 2.210 0.000
ATOMIC_POSITIONS angstrom
Li 0.000 0.000 0.000
Ni 1.369 2.210 4.352
Rh 1.369 2.210 8.700
```

Calculated values
The calculation puts the spin magnetization at 1.128 Bohr magnetons per cell. The calculation puts the energy relative to the elements at 77 meV per atom. The total DFT energy (no corrections) comes out at -4.938 eV/atom. As for the space group: Fmm2, No. 42. The value obtained for the polymorph energy (0 for the lowest one) is 118.1 meV/atom.


Entry 15:
Computed, not measured: crystalline Li2NiRh at its relaxed geometry at the GGA-PBE level of DFT. Values from VASP.

```
&SYSTEM
  ibrav = 0, nat = 4, ntyp = 3
/
ATOMIC_SPECIES
Li 6.94 Li.upf
Ni 58.69 Ni.upf
Rh 102.91 Rh.upf
CELL_PARAMETERS angstrom
1.312 0.757 8.523
-1.312 0.757 8.523
0.000 -1.515 8.523
ATOMIC_POSITIONS angstrom
Li 0.000 0.000 6.350
Li 0.000 0.000 19.218
Ni 0.000 0.000 12.784
Rh 0.000 0.000 0.000
```

Calculated values
The calculation puts the spin magnetization at 0.011 Bohr magnetons per cell. The calculation puts the energy relative to the elements at -93 meV per atom. The total DFT energy (no corrections) comes out at -4.334 eV/atom. As for the space group: R-3m, No. 166. The value obtained for the polymorph energy (0 for the lowest one) is 36.1 meV/atom.